# 1
Below is an optimized crystal structure of GaHPb, with properties calculated at the PBE level.

Cell lengths 8.186, 5.281, 3.281 Å; angles 67.01, 99.41, 106.02 degrees
Atoms (fractional coordinates):
Pb: 0.025 0.156 0.822
Pb: 0.486 0.359 0.537
H: 0.225 0.806 0.627
H: 0.287 0.710 0.726
Ga: 0.679 0.961 0.303
Ga: 0.832 0.553 0.057

Relative energy among the computed polymorphs = 24 meV/atom
SG = P1 (1)
Calculated total energy = -3.2484 eV/atom
Spin magnetization = 0.0 μB per formula unit
N(E_F) = 1.509 states/eV per cell

---

# 2
Below is an optimized crystal structure of GaHPb3, with properties calculated at the PBE level.

Cell lengths 4.957, 4.957, 4.957 Å; angles 90.00, 90.00, 90.00 degrees
Atoms (fractional coordinates):
Pb: 0.000 0.500 0.000
Pb: 0.000 0.000 0.500
Pb: 0.500 0.000 0.000
H: 0.000 0.000 0.000
Ga: 0.500 0.500 0.500

SG = Pm-3m (221)
Calculated total energy = -3.2675 eV/atom
Spin magnetization = 0.0 μB per formula unit
N(E_F) = 1.180 states/eV per cell

---

# 3
Below is an optimized crystal structure of GaHPb, with properties calculated at the PBE level.

Cell lengths 6.154, 6.202, 3.274 Å; angles 90.00, 89.98, 110.28 degrees
Atoms (fractional coordinates):
Pb: 0.519 0.885 0.010
Pb: 0.659 0.452 0.510
H: 0.976 0.776 0.511
H: 0.203 0.560 0.010
Ga: 0.165 0.042 0.511
Ga: 0.012 0.295 0.012

Relative energy among the computed polymorphs = 93 meV/atom
SG = P2_1 (4)
Calculated total energy = -3.1802 eV/atom
Spin magnetization = 0.0 μB per formula unit
N(E_F) = 1.771 states/eV per cell